# CaSm5Tl8

An optimized crystal structure of CaSm5Tl8 (PBE, the Alexandria database).

```
CaSm5Tl8
1.0
-4.730 4.730 4.686
4.730 -4.730 4.686
4.730 4.730 -4.686
Ca Sm Tl
1 5 8
Direct
0.000 0.000 0.000
0.149 0.504 0.890
0.250 0.750 0.500
0.496 0.386 0.645
0.614 0.259 0.110
0.741 0.851 0.355
0.022 0.286 0.409
0.188 0.107 0.730
0.377 0.458 0.270
0.387 0.978 0.264
0.542 0.812 0.919
0.714 0.123 0.736
0.877 0.613 0.591
0.893 0.623 0.081
```


# Ca2SmTl

An optimized crystal structure of Ca2SmTl (PBE, the Alexandria database).

```
Ca2SmTl
1.0
5.485 0.000 0.000
0.000 10.191 0.000
-2.736 0.000 4.768
Ca Sm Tl
4 2 2
Direct
0.166 0.071 0.332
0.166 0.429 0.332
0.834 0.571 0.668
0.834 0.929 0.668
0.500 0.250 0.998
0.500 0.750 0.002
0.167 0.750 0.336
0.833 0.250 0.664
```

Output
- ΔE to the lowest computed polymorph (eV per atom) = 0.021


# CaSm4Tl2

An optimized crystal structure of CaSm4Tl2 (PBE, the Alexandria database).

```
CaSm4Tl2
1.0
6.439 0.000 0.000
-2.500 7.926 0.000
-1.411 -1.357 8.680
Ca Sm Tl
2 8 4
Direct
0.000 0.000 0.000
0.414 0.789 0.953
0.188 0.444 0.190
0.277 0.324 0.786
0.315 0.918 0.328
0.534 0.691 0.577
0.641 0.111 0.704
0.773 0.640 0.261
0.844 0.525 0.871
0.890 0.111 0.387
0.019 0.513 0.549
0.088 0.904 0.646
0.498 0.316 0.441
0.601 0.226 0.081
```


# Ca2Sm2Tl3

An optimized crystal structure of Ca2Sm2Tl3 (PBE, the Alexandria database).

```
Ca2Sm2Tl3
1.0
1.884 -15.703 0.000
1.884 15.703 0.000
0.000 0.000 3.717
Ca Sm Tl
2 2 3
Direct
0.195 0.805 0.000
0.805 0.195 0.000
0.066 0.934 0.000
0.934 0.066 0.000
0.368 0.632 0.500
0.500 0.500 0.500
0.632 0.368 0.500
```


# Ca2SmTl

An optimized crystal structure of Ca2SmTl (PBE, the Alexandria database).

```
Ca2SmTl
1.0
1.837 1.061 12.666
-1.837 1.061 12.666
0.000 -2.121 12.666
Ca Sm Tl
2 1 1
Direct
0.086 0.086 0.086
0.914 0.914 0.914
0.500 0.500 0.500
0.000 0.000 0.000
```

Output
- ΔE to the lowest computed polymorph (eV per atom) = 0.271


# Ca2SmTl4

An optimized crystal structure of Ca2SmTl4 (PBE, the Alexandria database).

```
Ca2SmTl4
1.0
-3.796 3.796 3.844
3.796 -3.796 3.844
3.796 3.796 -3.844
Ca Sm Tl
2 1 4
Direct
0.000 0.500 0.500
0.500 0.000 0.500
0.000 0.000 0.000
0.000 0.000 0.500
0.000 0.500 0.000
0.500 0.000 0.000
0.500 0.500 0.500
```


Q: Which V values were calculated for the entries above? A: 419; 267; 443; 220; 148; 222, in Å³/cell.
Q: Which magnetization values were calculated for the entries above? A: 0.0; 0.0; 0.0; 0.0; 0.0; 0.0, in μB/f.u..
Q: Which ΔH_f (0 K) values were calculated for the entries above? A: -0.287; -0.168; -0.133; -0.306; 0.082; -0.298, in eV/atom.